Compound: BSe2I
Source: the Alexandria database
Functional: PBE
Structure: optimized geometry

crystal system = trigonal
relative energy among the computed polymorphs = 396 meV per atom
uncorrected formation energy = 38 kJ per mole of atoms

Structure (CIF):
```
data_BSe2I
_cell_length_a 5.440
_cell_length_b 5.440
_cell_length_c 5.440
_cell_angle_alpha 67.28
_cell_angle_beta 67.28
_cell_angle_gamma 67.28
_symmetry_space_group_name_H-M 'P 1'
_symmetry_Int_Tables_number 1
loop_
_symmetry_equiv_pos_as_xyz
'x,y,z'
loop_
_atom_site_label
_atom_site_fract_x
_atom_site_fract_y
_atom_site_fract_z
_atom_site_occupancy
I1 0.500 0.500 0.500 1
B1 0.000 0.000 0.000 1
Se1 0.145 0.145 0.145 1
Se2 0.855 0.855 0.855 1
```